# NdHoZnIn | the Alexandria database | PBE | relaxed
data_NdHoZnIn
_chemical_formula_sum 'Nd1 Ho1 Zn1 In1'
_symmetry_space_group_name_H-M 'P 4 m m'
_symmetry_Int_Tables_number 99
_symmetry_space_group_name_Hall 'P 4 -2'
_cell_length_a 3.685
_cell_length_b 3.685
_cell_length_c 7.568
_cell_angle_alpha 90.00
_cell_angle_beta 90.00
_cell_angle_gamma 90.00
loop_
_atom_site_label
_atom_site_type_symbol
_atom_site_fract_x
_atom_site_fract_y
_atom_site_fract_z
Nd1 Nd 0.000 0.000 0.000
Ho1 Ho 0.000 0.000 0.461
Zn1 Zn 0.500 0.500 0.251
In1 In 0.500 0.500 0.718
# formation enthalpy at 0 K: -0.41 eV per atom
# electronic total energy: -15.00 eV/cell
# DOS at the Fermi energy: 3.404 states/eV/f.u.
# M_tot: 0.00 Bohr magnetons per cell